An optimized crystal structure of PrV2O6, computed with PBE+U.

The structure in POSCAR format:
```
PrV2O6
1.0
6.2601 0.0000 0.0000
-3.1300 5.4214 0.0000
0.0000 0.0000 2.7729
Pr V O
1 2 6
direct
0.0000 0.0000 0.0000
0.3333 0.6667 0.2266
0.6667 0.3333 0.7734
0.1380 0.4196 0.7320
0.2816 0.8620 0.7320
0.4196 0.2816 0.2680
0.5804 0.7184 0.7320
0.7184 0.1380 0.2680
0.8620 0.5804 0.2680
```

- SG: P-3
- DOS(E_F): 2.88 states/eV/cell
- Total energy: -65.33 eV/f.u.